(1)
## CeErAgPd (GGA-PBE)

Data for crystalline CeErAgPd at its relaxed geometry.

The space group is F-43m (No. 216) and the conventional cell measures 7.2047, 7.2047 and 7.2047 Å, with angles of 90.00, 90.00 and 90.00 degrees. Symmetry generates all atoms from Ce at (0.0000, 0.0000, 0.0000), Er at (0.0000, 0.0000, 0.5000), Ag at (0.2500, 0.2500, 0.2500) and Pd at (0.2500, 0.2500, 0.7500).

The formation energy comes out at -0.45 eV per atom. The calculation puts the density of states at the Fermi level at 1.941 states/eV/atom.

=====

(2)
## TaCu2PBr (GGA-PBE)

Data for crystalline TaCu2PBr at its relaxed geometry.

The space group is P4/mmm (No. 123) and the conventional cell measures 4.3786, 4.3786 and 5.2898 Å, with angles of 90.00, 90.00 and 90.00 degrees. Symmetry generates all atoms from Ta at (0.0000, 0.0000, 0.0000), Cu at (0.0000, 0.5000, 0.5000), P at (0.5000, 0.5000, 0.0000) and Br at (0.5000, 0.5000, 0.5000).

The value obtained for the total DFT energy (no corrections) is -3.93 eV/atom. The calculation puts the density of states at the Fermi level at 1.044 states/eV/atom.

=====

(3)
## BaLi2Zn (GGA-PBE)

Data for crystalline BaLi2Zn at its relaxed geometry.

The space group is Pmmm (No. 47) and the conventional cell measures 3.9601, 5.3375 and 5.7218 Å, with angles of 90.00, 90.00 and 90.00 degrees. Symmetry generates all atoms from Ba at (0.0000, 0.0000, 0.0000), Li at (0.0000, 0.5000, 0.5000), Li at (0.5000, 0.0000, 0.5000) and Zn at (0.5000, 0.5000, 0.0000).

The formation energy comes out at 0.11 eV per atom. The calculation puts the density of states at the Fermi level at 0.784 states/eV/atom.

=====

(4)
## MgPd3 (GGA-PBE)

Data for crystalline MgPd3 at its relaxed geometry.

The space group is Pm-3m (No. 221) and the conventional cell measures 3.9693, 3.9693 and 3.9693 Å, with angles of 90.00, 90.00 and 90.00 degrees. Symmetry generates all atoms from Mg at (0.0000, 0.0000, 0.0000) and Pd at (0.0000, 0.5000, 0.5000).

The formation energy comes out at -0.47 eV per atom. The calculation puts the density of states at the Fermi level at 1.531 states/eV/atom.